1.
The following is a GGA-PBEsol calculation of a relaxed Cd2Si2Te crystal, from Alexandria.

Cell lengths 8.385, 8.385, 8.385 Å; angles 154.91, 154.91, 35.78 degrees
Positions (direct):
1 Cd 0.107 0.107 0.000
2 Cd 0.893 0.893 0.000
3 Si 0.250 0.750 0.500
4 Si 0.750 0.250 0.500
5 Te 0.500 0.500 0.000

Output
The space group is I4/mmm (139). Its formation energy (no corrections) is 0.216 eV/atom.


2.
The following is a GGA-PBEsol calculation of a relaxed FeSiIO2 crystal, from Alexandria.

Cell lengths 3.492, 3.492, 6.034 Å; angles 90.00, 90.00, 90.00 degrees
Positions (direct):
1 Fe 0.000 0.000 0.000
2 Si 0.500 0.500 0.500
3 I 0.500 0.500 0.000
4 O 0.000 0.500 0.500
5 O 0.500 0.000 0.500

Output
The space group is P4/mmm (123). Its formation energy (no corrections) is -0.543 eV/atom.


3.
The following is a GGA-PBEsol calculation of a relaxed SmAsRuO crystal, from Alexandria.

Cell lengths 4.034, 4.034, 8.128 Å; angles 90.00, 90.00, 90.00 degrees
Positions (direct):
1 Sm 0.250 0.250 0.136
2 Sm 0.750 0.750 0.864
3 As 0.250 0.250 0.664
4 As 0.750 0.750 0.336
5 Ru 0.250 0.750 0.500
6 Ru 0.750 0.250 0.500
7 O 0.250 0.750 0.000
8 O 0.750 0.250 0.000

Output
The space group is P4/nmm (129). Its formation energy (no corrections) is -1.873 eV/atom.


4.
The following is a GGA-PBEsol calculation of a relaxed LiPb2Se crystal, from Alexandria.

Cell lengths 3.701, 3.701, 7.085 Å; angles 90.00, 90.00, 90.00 degrees
Positions (direct):
1 Li 0.000 0.000 0.000
2 Pb 0.000 0.000 0.589
3 Pb 0.500 0.500 0.295
4 Se 0.500 0.500 0.891

Output
The space group is P4mm (99). Its formation energy (no corrections) is -0.373 eV/atom.


5.
The following is a GGA-PBEsol calculation of a relaxed Cs3Cu2Bi5S10 crystal, from Alexandria.

Cell lengths 14.939, 17.776, 4.034 Å; angles 90.00, 90.00, 90.00 degrees
Positions (direct):
1 Cs 0.000 0.000 0.000
2 Cs 0.024 0.248 0.500
3 Cs 0.476 0.748 0.000
4 Cs 0.500 0.500 0.500
5 Cs 0.524 0.252 0.000
6 Cs 0.976 0.752 0.500
7 Cu 0.217 0.736 0.000
8 Cu 0.283 0.236 0.500
9 Cu 0.717 0.764 0.500
10 Cu 0.783 0.264 0.000
11 Bi 0.000 0.500 0.000
12 Bi 0.213 0.589 0.500
13 Bi 0.244 0.890 0.500
14 Bi 0.256 0.390 0.000
15 Bi 0.287 0.089 0.000
16 Bi 0.500 0.000 0.500
17 Bi 0.713 0.911 0.000
18 Bi 0.744 0.610 0.000
19 Bi 0.756 0.110 0.500
20 Bi 0.787 0.411 0.500
21 S 0.096 0.636 0.000
22 S 0.117 0.443 0.500
23 S 0.136 0.848 0.000
24 S 0.177 0.028 0.500
25 S 0.207 0.225 0.000
26 S 0.293 0.725 0.500
27 S 0.323 0.528 0.000
28 S 0.364 0.348 0.500
29 S 0.383 0.943 0.000
30 S 0.404 0.136 0.500
31 S 0.596 0.864 0.500
32 S 0.617 0.057 0.000
33 S 0.636 0.652 0.500
34 S 0.677 0.472 0.000
35 S 0.707 0.275 0.500
36 S 0.793 0.775 0.000
37 S 0.823 0.972 0.500
38 S 0.864 0.152 0.000
39 S 0.883 0.557 0.500
40 S 0.904 0.364 0.000

Output
The space group is Pnnm (58). Its formation energy (no corrections) is -0.626 eV/atom.


6.
The following is a GGA-PBEsol calculation of a relaxed BeOsRh crystal, from Alexandria.

Cell lengths 3.779, 3.779, 3.779 Å; angles 60.00, 60.00, 60.00 degrees
Positions (direct):
1 Be 0.000 0.000 0.000
2 Os 0.250 0.250 0.250
3 Rh 0.750 0.750 0.750

Output
The space group is F-43m (216). As for the energy above the most stable polymorph in this dataset: 392.7 meV per atom. As for the formation energy: 0.43 eV/atom.


7.
The following is a GGA-PBEsol calculation of a relaxed Fe3Ag crystal, from Alexandria.

Cell lengths 4.474, 4.474, 4.651 Å; angles 97.66, 97.66, 33.34 degrees
Positions (direct):
1 Fe 0.000 0.000 0.000
2 Fe 0.251 0.251 0.765
3 Fe 0.749 0.749 0.235
4 Ag 0.500 0.500 0.500

Output
The space group is C2/m (12). As for the formation energy: 0.37 eV/atom.


8.
The following is a GGA-PBEsol calculation of a relaxed Cd2TeRh crystal, from Alexandria.

Cell lengths 4.149, 4.149, 4.471 Å; angles 90.00, 90.00, 90.00 degrees
Positions (direct):
1 Cd 0.000 0.500 0.000
2 Cd 0.500 0.000 0.000
3 Te 0.000 0.000 0.500
4 Rh 0.500 0.500 0.500

Output
The space group is P4/mmm (123). Its formation energy (no corrections) is 0.059 eV/atom.


9.
The following is a GGA-PBEsol calculation of a relaxed P2WSe crystal, from Alexandria.

Cell lengths 3.025, 4.230, 4.681 Å; angles 90.00, 90.00, 90.00 degrees
Positions (direct):
1 P 0.000 0.000 0.000
2 P 0.500 0.000 0.500
3 W 0.000 0.500 0.500
4 Se 0.500 0.500 0.000

Output
The space group is Pmmm (47). Its formation energy (no corrections) is 0.604 eV/atom.


10.
The following is a GGA-PBEsol calculation of a relaxed BeCu2Se crystal, from Alexandria.

Cell lengths 4.782, 4.782, 4.782 Å; angles 136.90, 136.90, 62.60 degrees
Positions (direct):
1 Be 0.000 0.000 0.000
2 Cu 0.250 0.750 0.500
3 Cu 0.750 0.250 0.500
4 Se 0.500 0.500 0.000

Output
The space group is I4/mmm (139). As for the energy above the most stable polymorph in this dataset: 121.1 meV per atom. Its formation energy (no corrections) is 0.200 eV/atom.


11.
The following is a GGA-PBEsol calculation of a relaxed AlCrIn crystal, from Alexandria.

Cell lengths 5.426, 5.426, 5.426 Å; angles 146.46, 146.46, 48.16 degrees
Positions (direct):
1 Al 0.000 0.000 0.000
2 Cr 0.627 0.627 0.000
3 In 0.302 0.302 0.000

Output
The space group is I4mm (107). As for the energy above the most stable polymorph in this dataset: 0.0 meV per atom. As for the formation energy: 0.24 eV/atom.


12.
The following is a GGA-PBEsol calculation of a relaxed CaY crystal, from Alexandria.

Cell lengths 7.107, 7.107, 5.585 Å; angles 90.00, 90.00, 150.35 degrees
Positions (direct):
1 Ca 0.171 0.829 0.750
2 Ca 0.829 0.171 0.250
3 Y 0.437 0.563 0.750
4 Y 0.563 0.437 0.250

Output
The space group is Cmcm (63). As for the energy above the most stable polymorph in this dataset: 106.8 meV per atom. As for the formation energy: 0.16 eV/atom.


no.,M_tot (μB/atom)
1,0.000
2,0.527
3,0.000
4,0.000
5,0.000
6,0.000
7,1.926
8,0.000
9,0.000
10,0.000
11,0.651
12,0.001